1.
This record from the Alexandria database describes a geometry-optimized HoHfAu6 structure. The functional is PBE.

Results
Formation energy (meV/atom): -545.3
Total DFT energy (no corrections) (eV per atom): -4.82
DOS(E_F) (states/eV per cell): 3.60

Lattice parameters (Å, degrees): 4.4100 5.0612 8.0014 80.46 74.00 64.17
Last column: nearest neighbours and their distance in Å.
Atoms (fractional coordinates):
Ho1 0.0000 0.5000 0.5000  12 Au 2.99-3.14
Hf1 0.0000 0.0000 0.0000  12 Au 2.89-3.07
Au1 0.2484 0.8666 0.6365  1 Hf 2.89, 8 Au 2.93-3.24, 3 Ho 2.99-3.02
Au2 0.5077 0.2324 0.7522  8 Au 2.91-3.05, 2 Hf 3.07, 2 Ho 3.14
Au3 0.2516 0.3809 0.1158  8 Au 2.91-3.09, 3 Hf 2.91-2.97, 1 Ho 3.03
Au4 0.4923 0.7676 0.2478  8 Au 2.91-3.05, 2 Hf 3.07, 2 Ho 3.14
Au5 0.7516 0.1334 0.3635  1 Hf 2.89, 8 Au 2.93-3.24, 3 Ho 2.99-3.02
Au6 0.7484 0.6191 0.8842  8 Au 2.91-3.09, 3 Hf 2.91-2.97, 1 Ho 3.03

=====

2.
This record from the Alexandria database describes a geometry-optimized HoHfAu2 structure. The functional is PBE.

Results
Formation energy (meV/atom): -465.4
E above lowest polymorph (eV/atom): 0.152
Total DFT energy (no corrections) (eV per atom): -5.74
DOS(E_F) (states/eV per cell): 2.24

Lattice parameters (Å, degrees): 3.6845 3.6845 8.2059 77.03 77.03 60.00
Last column: nearest neighbours and their distance in Å.
Atoms (fractional coordinates):
Hf1 0.0000 0.0000 0.0000  6 Au 2.81
Au1 0.7438 0.7438 0.7685  3 Hf 2.81, 3 Ho 3.01
Au2 0.2562 0.2562 0.2315  3 Hf 2.81, 3 Ho 3.01
Ho1 0.5000 0.5000 0.5000  6 Au 3.01

=====

3.
This record from the Alexandria database describes a geometry-optimized HoHfInAu structure. The functional is PBE.

Results
Formation energy (meV/atom): -343.8
Total DFT energy (no corrections) (eV per atom): -5.48
DOS(E_F) (states/eV per cell): 2.21

Lattice parameters (Å, degrees): 5.0433 5.0433 5.0433 60.00 60.00 60.00
Last column: nearest neighbours and their distance in Å.
Atoms (fractional coordinates):
Hf1 0.2500 0.2500 0.2500  4 In 3.09, 4 Au 3.09
Au1 0.0000 0.0000 0.0000  4 Ho 3.09, 4 Hf 3.09
Ho1 0.7500 0.7500 0.7500  4 Au 3.09, 4 In 3.09
In1 0.5000 0.5000 0.5000  4 Ho 3.09, 4 Hf 3.09